{
  "formula": "Na3NdSm2Se6",
  "functional": "PBE",
  "state": "relaxed",
  "magmom_total_mub_per_fu": 0.0,
  "spacegroup": "No. 12",
  "e_form_raw_ev_per_fu": -20.29,
  "lattice_angstrom": [[7.363, -0.001, 0.001], [-3.681, 6.377, 0.001], [-1.228, -2.127, 7.011]],
  "species": ["Se", "Sm", "Se", "Na", "Se", "Se", "Sm", "Na", "Na", "Nd", "Se", "Se"],
  "frac_coords": [[0.414, 0.078, 0.235], [0.667, 0.333, 0.000], [0.742, 0.742, 0.235], [0.834, 0.166, 0.500], [0.586, 0.922, 0.765], [0.078, 0.414, 0.235], [0.333, 0.667, 0.000], [0.166, 0.834, 0.500], [0.500, 0.500, 0.500], [0.000, 0.000, 0.000], [0.922, 0.586, 0.765], [0.258, 0.258, 0.765]]
}